Record 1
The following is a DFT calculation (PBE) of a relaxed Tb4TmCd crystal.

## Properties
* calculated volume: 29.9 Å³ per atom
* magnetic moment: 0.00 μB per formula unit
* ΔE_f: -0.092 eV/atom

```
Tb4TmCd
1.0
3.559 0.000 0.000
0.000 3.559 0.000
0.000 0.000 14.141
Tb Tm Cd
4 1 1
Direct
0.000 0.000 0.148 Tb
0.000 0.000 0.852 Tb
0.500 0.500 0.325 Tb
0.500 0.500 0.675 Tb
0.000 0.000 0.500 Tm
0.500 0.500 0.000 Cd
```

***

Record 2
The following is a DFT calculation (PBE) of a relaxed Cd2HgTe crystal.

## Properties
* calculated volume: 26.2 Å³ per atom
* magnetic moment: 0.00 μB per formula unit
* ΔE_f (raw): 1.8 kJ per mole of atoms

```
Cd2HgTe
1.0
5.071 0.000 0.000
0.000 5.071 0.000
0.000 0.000 4.068
Cd Hg Te
2 1 1
Direct
0.000 0.500 0.000 Cd
0.500 0.000 0.000 Cd
0.000 0.000 0.500 Hg
0.500 0.500 0.500 Te
```

***

Record 3
The following is a DFT calculation (PBE) of a relaxed Pm5Pa crystal.

## Properties
* calculated volume: 32.4 Å³ per atom
* magnetic moment: 0.00 μB per formula unit
* ΔE_f: 0.159 eV/atom

```
Pm5Pa
1.0
2.534 -7.599 0.000
2.534 7.599 0.000
0.000 0.000 5.046
Pm Pa
5 1
Direct
0.000 0.000 0.000 Pm
0.158 0.842 0.500 Pm
0.343 0.657 0.000 Pm
0.657 0.343 0.000 Pm
0.842 0.158 0.500 Pm
0.500 0.500 0.500 Pa
```

***

Record 4
The following is a DFT calculation (PBE) of a relaxed Na3MgSc crystal.

## Properties
* calculated volume: 36.6 Å³ per atom
* magnetic moment: 0.74 μB per formula unit
* ΔE_f: 0.721 eV/atom

```
Na3MgSc
1.0
5.679 0.000 0.000
0.000 5.679 0.000
0.000 0.000 5.679
Na Mg Sc
3 1 1
Direct
0.000 0.000 0.500 Na
0.000 0.500 0.000 Na
0.500 0.000 0.000 Na
0.000 0.000 0.000 Mg
0.500 0.500 0.500 Sc
```

***

Record 5
The following is a DFT calculation (PBE) of a relaxed SrTc2Rh crystal.

## Properties
* calculated volume: 22.2 Å³ per atom
* magnetic moment: 0.70 μB per formula unit
* ΔE_f: 0.620 eV/atom

```
SrTc2Rh
1.0
3.368 0.000 0.000
0.000 4.778 0.000
-1.317 0.000 5.508
Sr Tc Rh
1 2 1
Direct
0.000 0.000 0.000 Sr
0.295 0.500 0.643 Tc
0.705 0.500 0.357 Tc
0.500 0.000 0.500 Rh
```

***

Record 6
The following is a DFT calculation (PBE) of a relaxed CaSiH2O4 crystal.

## Properties
* calculated volume: 9.4 Å³ per atom
* magnetic moment: 0.00 μB per formula unit

```
CaSiH2O4
1.0
-2.112 2.862 3.119
2.112 -2.862 3.119
2.112 2.862 -3.119
Ca Si H O
1 1 2 4
Direct
0.000 0.000 0.000 Ca
0.500 0.500 0.000 Si
0.339 0.839 0.500 H
0.661 0.161 0.500 H
0.208 0.078 0.612 O
0.466 0.596 0.388 O
0.534 0.922 0.130 O
0.792 0.404 0.870 O
```

***

Record 7
The following is a DFT calculation (PBE) of a relaxed VReMo crystal.

## Properties
* calculated volume: 15.9 Å³ per atom
* magnetic moment: 0.00 μB per formula unit
* ΔE_f: 0.718 eV/atom

```
VReMo
1.0
-2.473 2.473 3.897
2.473 -2.473 3.897
2.473 2.473 -3.897
V Re Mo
2 2 2
Direct
0.000 0.000 0.000 V
0.750 0.250 0.500 V
0.073 0.573 0.500 Re
0.323 0.323 0.000 Re
0.414 0.914 0.500 Mo
0.664 0.664 0.000 Mo
```

***

Record 8
The following is a DFT calculation (PBE) of a relaxed Be2CoSbI crystal.

## Properties
* calculated volume: 19.7 Å³ per atom
* magnetic moment: 0.00 μB per formula unit
* ΔE_f (raw): 61.1 kJ per mole of atoms

```
Be2CoSbI
1.0
4.581 0.000 0.000
0.000 4.581 0.000
0.000 0.000 4.688
Be Co Sb I
2 1 1 1
Direct
0.000 0.500 0.000 Be
0.500 0.000 0.000 Be
0.000 0.000 0.000 Co
0.000 0.000 0.500 Sb
0.500 0.500 0.500 I
```

***

no.,final energy (eV/f.u.),mass density (kg/m³)
1,-24.46,8500
2,-5.20,8777
3,-32.29,8170
4,-8.28,1253
5,-27.28,7241
6,-50.77,2954
7,-30.25,11602
8,-17.06,5497